Record 1
DFT (PBE) results for a relaxed structure of Ru2Pt2Rh.

Values from the calculation:
- energy of formation (meV per atom) = 443
- offset from the most stable computed form (meV/atom) = 231
- crystal system = orthorhombic
- DOS(E_F) (states/eV/cell) = 13.70
- total magnetic moment (μB per formula unit) = 0.000

Unit cell a=4.4973 b=7.2280 c=5.1758 alpha=90.00 beta=90.00 gamma=90.00
Closest atoms and distances in Å follow each position.
Space group Cmmm (No. 65)
Inequivalent atoms, fractional coordinates:
Ru 0.0000 0.1686 0.0000  3 Ru 2.44-2.54, 2 Pt 2.73
Pt 0.0000 0.5000 0.2513  2 Pt 2.57-2.60, 2 Rh 2.59, 6 Ru 2.73-2.87
Rh 0.0000 0.0000 0.5000  4 Pt 2.59, 4 Ru 2.86

Record 2
DFT (PBE) results for a relaxed structure of AcCrC2.

Values from the calculation:
- energy of formation (meV per atom) = 655
- crystal system = trigonal
- DOS(E_F) (states/eV/cell) = 7.00
- total magnetic moment (μB per formula unit) = 1.130

Unit cell a=3.3583 b=3.3583 c=17.2166 alpha=90.00 beta=90.00 gamma=120.00
Closest atoms and distances in Å follow each position.
Space group R-3m (No. 166, hexagonal axes)
Inequivalent atoms, fractional coordinates:
Ac 0.0000 0.0000 0.0000  6 C 2.75
Cr 0.0000 0.0000 0.5000  6 C 2.15
C 0.0000 0.0000 0.2205  3 Cr 2.15

Record 3
DFT (PBE) results for a relaxed structure of Ti4MnCo.

Values from the calculation:
- energy of formation (meV per atom) = 55
- offset from the most stable computed form (meV/atom) = 260
- crystal system = trigonal
- DOS(E_F) (states/eV/cell) = 13.15
- total magnetic moment (μB per formula unit) = 0.000

Unit cell a=4.4448 b=4.4448 c=17.2022 alpha=90.00 beta=90.00 gamma=120.00
Closest atoms and distances in Å follow each position.
Space group R-3m (No. 166, hexagonal axes)
Inequivalent atoms, fractional coordinates:
Ti 0.0000 0.0000 0.1246  1 Mn 2.14
Ti 0.0000 0.0000 0.3733  1 Co 2.18
Mn 0.0000 0.0000 0.0000  2 Ti 2.14
Co 0.0000 0.0000 0.5000  2 Ti 2.18

Record 4
DFT (PBE) results for a relaxed structure of La2Ge2P.

Values from the calculation:
- energy of formation (meV per atom) = -806
- offset from the most stable computed form (meV/atom) = 0
- crystal system = tetragonal
- DOS(E_F) (states/eV/cell) = 4.60
- total magnetic moment (μB per formula unit) = 0.000

Unit cell a=3.8339 b=3.8339 c=16.8159 alpha=90.00 beta=90.00 gamma=90.00
Closest atoms and distances in Å follow each position.
Space group I4/mmm (No. 139)
Inequivalent atoms, fractional coordinates:
La 0.0000 0.0000 0.0967  4 P 3.16, 4 Ge 3.21, 1 La 3.25
Ge 0.0000 0.5000 0.2500  4 Ge 2.71
P 0.0000 0.0000 0.5000  8 La 3.16

Record 5
DFT (PBE) results for a relaxed structure of ZrTi2Co2.

Values from the calculation:
- energy of formation (meV per atom) = -182
- offset from the most stable computed form (meV/atom) = 78
- crystal system = tetragonal
- DOS(E_F) (states/eV/cell) = 9.12
- total magnetic moment (μB per formula unit) = 0.000

Unit cell a=7.3702 b=7.3702 c=2.7479 alpha=90.00 beta=90.00 gamma=90.00
Closest atoms and distances in Å follow each position.
Space group P4/mbm (No. 127)
Inequivalent atoms, fractional coordinates:
Zr 0.0000 0.0000 0.0000  2 Zr 2.75, 4 Ti 2.83
Ti 0.1445 0.3555 0.0000  6 Co 2.56, 2 Ti 2.75, 2 Zr 2.83
Co 0.1478 0.6478 0.5000  6 Ti 2.56, 2 Co 2.75

Record 6
DFT (PBE) results for a relaxed structure of Rb2CoBr2Cl2.

Values from the calculation:
- E_form (uncorrected) (eV per atom) = -1.1396
- crystal system = monoclinic
- DOS(E_F) (states/eV/cell) = 5.98
- total magnetic moment (μB per formula unit) = 0.966

Unit cell a=8.0557 b=13.6677 c=4.5112 alpha=90.00 beta=118.37 gamma=90.00
Closest atoms and distances in Å follow each position.
Space group C2/m (No. 12)
Inequivalent atoms, fractional coordinates:
Rb 0.0000 0.1628 0.0000  4 Cl 3.26-3.56, 2 Br 3.48
Co 0.0000 0.5000 0.5000  2 Cl 2.25, 2 Br 2.41
Br 0.2485 0.5000 0.3451  1 Co 2.41
Cl 0.0000 0.3353 0.5000  1 Co 2.25

Record 7
DFT (PBE) results for a relaxed structure of CsFePd3.

Values from the calculation:
- energy of formation (meV per atom) = 497
- offset from the most stable computed form (meV/atom) = 0
- crystal system = cubic
- DOS(E_F) (states/eV/cell) = 3.87
- total magnetic moment (μB per formula unit) = 3.990

Unit cell a=4.8738 b=4.8738 c=4.8738 alpha=90.00 beta=90.00 gamma=90.00
Closest atoms and distances in Å follow each position.
Space group Pm-3m (No. 221)
Inequivalent atoms, fractional coordinates:
Cs 0.0000 0.0000 0.0000  12 Pd 3.45
Fe 0.5000 0.5000 0.5000  6 Pd 2.44
Pd 0.0000 0.5000 0.5000  2 Fe 2.44

Record 8
DFT (PBE) results for a relaxed structure of Zr2Ag2Sb.

Values from the calculation:
- offset from the most stable computed form (meV/atom) = 0
- E_form (uncorrected) (eV per atom) = -0.0463
- crystal system = tetragonal
- DOS(E_F) (states/eV/cell) = 11.14
- total magnetic moment (μB per formula unit) = 0.000

Unit cell a=7.1131 b=7.1131 c=4.2425 alpha=90.00 beta=90.00 gamma=90.00
Closest atoms and distances in Å follow each position.
Space group P4/mbm (No. 127)
Inequivalent atoms, fractional coordinates:
Zr 0.1636 0.3364 0.0000  6 Ag 2.95-3.00, 1 Zr 3.29
Ag 0.1322 0.6322 0.5000  1 Ag 2.66, 2 Sb 2.78, 2 Zr 2.95
Sb 0.0000 0.0000 0.5000  4 Ag 2.78

Record 9
DFT (PBE) results for a relaxed structure of Tb2NiHg3.

Values from the calculation:
- energy of formation (meV per atom) = -373
- crystal system = orthorhombic
- DOS(E_F) (states/eV/cell) = 3.38
- total magnetic moment (μB per formula unit) = 0.000

Unit cell a=3.4912 b=4.7399 c=8.3552 alpha=90.00 beta=90.00 gamma=90.00
Closest atoms and distances in Å follow each position.
Space group Pmm2 (No. 25)
Inequivalent atoms, fractional coordinates:
Tb 0.0000 0.0000 0.0000  2 Ni 2.90, 4 Hg 3.15
Tb 0.0000 0.5000 0.4324  6 Hg 3.05-3.24, 4 Ni 3.22
Ni 0.5000 0.0000 0.2770  3 Hg 2.66, 2 Tb 2.90
Hg 0.5000 0.0000 0.5957  1 Ni 2.66, 2 Hg 2.86
Hg 0.5000 0.5000 0.1327  2 Ni 2.66, 1 Hg 2.88
Hg 0.5000 0.5000 0.7883  3 Hg 2.86-2.88

Record 10
DFT (PBE) results for a relaxed structure of Zn2In3Hg4.

Values from the calculation:
- energy of formation (meV per atom) = 46
- crystal system = monoclinic
- DOS(E_F) (states/eV/cell) = 9.10
- total magnetic moment (μB per formula unit) = 0.000

Unit cell a=8.5555 b=18.7999 c=6.9541 alpha=90.00 beta=127.63 gamma=90.00
Closest atoms and distances in Å follow each position.
Space group C2/c (No. 15)
Inequivalent atoms, fractional coordinates:
Zn 0.0751 0.1013 0.4814  1 Zn 2.64, 3 Hg 2.78-2.88, 1 In 2.93
In 0.0000 0.3768 0.2500  2 Zn 2.93, 4 Hg 3.06-3.16
In 0.2351 0.3613 0.9765  2 Zn 2.97-3.14, 4 Hg 3.15-3.26, 1 In 3.26
Hg 0.0916 0.2464 0.5663  1 Zn 2.78, 1 In 3.06
Hg 0.2343 0.4886 0.6768  3 Zn 2.84-2.99, 3 In 3.15-3.17

Record 11
DFT (PBE) results for a relaxed structure of Ta3MnZn.

Values from the calculation:
- energy of formation (meV per atom) = 818
- offset from the most stable computed form (meV/atom) = 0
- crystal system = cubic
- DOS(E_F) (states/eV/cell) = 4.36
- total magnetic moment (μB per formula unit) = 0.000

Unit cell a=4.5835 b=4.5835 c=4.5835 alpha=90.00 beta=90.00 gamma=90.00
Closest atoms and distances in Å follow each position.
Space group Pm-3m (No. 221)
Inequivalent atoms, fractional coordinates:
Ta 0.0000 0.0000 0.5000  2 Mn 2.29
Mn 0.0000 0.0000 0.0000  6 Ta 2.29
Zn 0.5000 0.5000 0.5000  12 Ta 3.24

Record 12
DFT (PBE) results for a relaxed structure of NdScPt.

Values from the calculation:
- energy of formation (meV per atom) = -688
- offset from the most stable computed form (meV/atom) = 214
- crystal system = trigonal
- DOS(E_F) (states/eV/cell) = 2.88
- total magnetic moment (μB per formula unit) = 0.000

Unit cell a=4.5215 b=4.5215 c=4.2219 alpha=90.00 beta=90.00 gamma=120.00
Closest atoms and distances in Å follow each position.
Space group P3m1 (No. 156)
Inequivalent atoms, fractional coordinates:
Nd 0.0000 0.0000 0.0000  3 Pt 3.10, 6 Sc 3.33-3.38
Sc 0.6667 0.3333 0.5098  3 Pt 2.65
Pt 0.3333 0.6667 0.3970  3 Sc 2.65

Which formula does entry 7 have?
CsFePd3

The highest DOS(E_F) belongs to which entry?
Ru2Pt2Rh